Entry 1:
Below is AcCd4Hg4 after structural relaxation, with properties calculated at the GGA-PBE level.

a b c (Å): 6.7894 6.7894 10.2036
angles (deg): 90.00 90.00 90.00
Element x y z (fractional)
1 Ac 0.0000 0.0000 0.0000
2 Ac 0.5000 0.5000 0.5000
3 Cd 0.2153 0.5000 0.9286
4 Cd 0.7847 0.5000 0.9286
5 Cd 0.5000 0.7847 0.0714
6 Cd 0.5000 0.2153 0.0714
7 Cd 0.0000 0.7153 0.4286
8 Cd 0.0000 0.2847 0.4286
9 Cd 0.2847 0.0000 0.5714
10 Cd 0.7153 0.0000 0.5714
11 Hg 0.5000 0.7622 0.7817
12 Hg 0.5000 0.2378 0.7817
13 Hg 0.7622 0.5000 0.2183
14 Hg 0.2378 0.5000 0.2183
15 Hg 0.2622 0.0000 0.2817
16 Hg 0.7378 0.0000 0.2817
17 Hg 0.0000 0.2622 0.7183
18 Hg 0.0000 0.7378 0.7183

Output
The value obtained for the spin magnetization is 0.000 Bohr magnetons per cell. The total energy is -1.14 eV per atom. As for the space group: No. 137. The energy relative to the lowest polymorph listed for this composition is 15.0 meV/atom.


Entry 2:
Below is AcCd2Hg4 after structural relaxation, with properties calculated at the GGA-PBE level.

a b c (Å): 6.3436 5.8902 6.3436
angles (deg): 119.17 106.62 60.83
Element x y z (fractional)
1 Ac 0.0000 0.0000 0.0000
2 Cd 0.5079 0.7467 0.4921
3 Cd 0.4921 0.2533 0.5079
4 Hg 0.6104 0.6942 0.9931
5 Hg 0.3896 0.3058 0.0069
6 Hg 0.9931 0.3058 0.6104
7 Hg 0.0069 0.6942 0.3896

Output
The value obtained for the spin magnetization is 0.000 Bohr magnetons per cell. The total energy is -1.24 eV per atom. As for the space group: No. 12. The energy relative to the lowest polymorph listed for this composition is 0.0 meV/atom.


Entry 3:
Below is AcCdHg after structural relaxation, with properties calculated at the GGA-PBE level.

a b c (Å): 5.1227 6.3696 6.4927
angles (deg): 75.96 66.77 66.29
Element x y z (fractional)
1 Ac 0.5254 0.2295 0.7197
2 Ac 0.4746 0.7705 0.2803
3 Cd 0.8368 0.2062 0.1201
4 Cd 0.1632 0.7938 0.8799
5 Hg 0.1697 0.3700 0.2906
6 Hg 0.8303 0.6300 0.7094

Output
The value obtained for the spin magnetization is 0.000 Bohr magnetons per cell. The total energy is -2.18 eV per atom. As for the space group: No. 12. The energy relative to the lowest polymorph listed for this composition is 0.0 meV/atom.


Entry 4:
Below is AcCd17Hg after structural relaxation, with properties calculated at the GGA-PBE level.

a b c (Å): 7.8105 7.8105 7.8105
angles (deg): 82.33 82.33 82.33
Element x y z (fractional)
1 Ac 0.3388 0.3388 0.3388
2 Cd 0.3116 0.9996 0.7087
3 Cd 0.7087 0.3116 0.9996
4 Cd 0.9996 0.7087 0.3116
5 Cd 0.3116 0.7087 0.9996
6 Cd 0.9996 0.3116 0.7087
7 Cd 0.7087 0.9996 0.3116
8 Cd 0.3578 0.8528 0.3578
9 Cd 0.3578 0.3578 0.8528
10 Cd 0.8528 0.3578 0.3578
11 Cd 0.6530 0.1458 0.6530
12 Cd 0.6530 0.6530 0.1458
13 Cd 0.1458 0.6530 0.6530
14 Cd 0.0133 0.5043 0.0133
15 Cd 0.0133 0.0133 0.5043
16 Cd 0.5043 0.0133 0.0133
17 Cd 0.9013 0.9013 0.9013
18 Cd 0.0996 0.0996 0.0996
19 Hg 0.5692 0.5692 0.5692

Output
The value obtained for the spin magnetization is 0.000 Bohr magnetons per cell. The total energy is -1.12 eV per atom. As for the space group: No. 160.


Entry 5:
Below is Ac2Cd5Hg4 after structural relaxation, with properties calculated at the GGA-PBE level.

a b c (Å): 6.0948 7.6619 7.6614
angles (deg): 78.95 66.56 66.56
Element x y z (fractional)
1 Ac 0.2848 0.7152 0.7152
2 Ac 0.7152 0.2848 0.2848
3 Cd 0.2418 0.2160 0.7840
4 Cd 0.7582 0.7840 0.2160
5 Cd 0.0000 0.5000 0.5000
6 Cd 0.7582 0.2160 0.7840
7 Cd 0.2418 0.7840 0.2160
8 Hg 0.2576 0.0846 0.4001
9 Hg 0.7424 0.9154 0.5999
10 Hg 0.7423 0.5999 0.9154
11 Hg 0.2577 0.4001 0.0846

Output
The value obtained for the spin magnetization is 0.000 Bohr magnetons per cell. The total energy is -1.52 eV per atom. As for the space group: No. 71.


Entry 6:
Below is Ac12Cd5Hg3 after structural relaxation, with properties calculated at the GGA-PBE level.

a b c (Å): 16.6939 16.6939 16.6939
angles (deg): 109.47 109.47 109.47
Element x y z (fractional)
1 Hg 0.7500 0.3750 0.1250
2 Hg 0.8750 0.7500 0.1250
3 Hg 0.3750 0.7500 0.6250
4 Hg 0.2500 0.1250 0.3750
5 Hg 0.8750 0.1250 0.2500
6 Hg 0.3750 0.6250 0.2500
7 Hg 0.6250 0.3750 0.7500
8 Hg 0.1250 0.8750 0.7500
9 Hg 0.7500 0.8750 0.6250
10 Hg 0.6250 0.2500 0.3750
11 Hg 0.1250 0.2500 0.8750
12 Hg 0.2500 0.6250 0.8750
13 Cd 0.1250 0.3750 0.2500
14 Cd 0.0000 0.5000 0.0000
15 Cd 0.0000 0.0000 0.0000
16 Cd 0.3750 0.2500 0.1250
17 Cd 0.5000 0.0000 0.5000
18 Cd 0.5000 0.5000 0.0000
19 Cd 0.1250 0.7500 0.3750
20 Cd 0.7500 0.1250 0.8750
21 Cd 0.7500 0.6250 0.3750
22 Cd 0.3750 0.1250 0.7500
23 Cd 0.6250 0.8750 0.2500
24 Cd 0.5000 0.5000 0.5000
25 Cd 0.5000 0.0000 0.0000
26 Cd 0.0000 0.0000 0.5000
27 Cd 0.2500 0.3750 0.6250
28 Cd 0.2500 0.8750 0.1250
29 Cd 0.0000 0.5000 0.5000
30 Cd 0.8750 0.2500 0.6250
31 Cd 0.6250 0.7500 0.8750
32 Cd 0.8750 0.6250 0.7500
33 Ac 0.7255 0.1349 0.0601
34 Ac 0.3346 0.5601 0.4252
35 Ac 0.9399 0.3651 0.2745
36 Ac 0.5601 0.2255 0.1349
37 Ac 0.5906 0.7255 0.6654
38 Ac 0.9399 0.5748 0.1654
39 Ac 0.3346 0.7745 0.4094
40 Ac 0.0748 0.9094 0.1349
41 Ac 0.5748 0.9399 0.6654
42 Ac 0.7255 0.5906 0.1654
43 Ac 0.7745 0.4399 0.3651
44 Ac 0.8346 0.9252 0.0601
45 Ac 0.1349 0.7255 0.5601
46 Ac 0.3651 0.4252 0.0906
47 Ac 0.0906 0.9252 0.3651
48 Ac 0.4094 0.1349 0.5748
49 Ac 0.0906 0.1654 0.2255
50 Ac 0.4399 0.6654 0.0748
51 Ac 0.8346 0.9094 0.2745
52 Ac 0.1349 0.4094 0.0748
53 Ac 0.3651 0.9399 0.7745
54 Ac 0.5748 0.6349 0.4094
55 Ac 0.9252 0.8346 0.5601
56 Ac 0.7745 0.3346 0.9094
57 Ac 0.4252 0.3651 0.5906
58 Ac 0.0748 0.1654 0.4399
59 Ac 0.2255 0.6654 0.0906
60 Ac 0.1654 0.0906 0.7255
61 Ac 0.6349 0.0601 0.2255
62 Ac 0.8651 0.5906 0.9252
63 Ac 0.5601 0.3346 0.9252
64 Ac 0.5906 0.8651 0.4252
65 Ac 0.9094 0.8346 0.7745
66 Ac 0.9094 0.0748 0.6349
67 Ac 0.8651 0.2745 0.4399
68 Ac 0.1654 0.0748 0.9399
69 Ac 0.6349 0.5748 0.9094
70 Ac 0.4252 0.0601 0.3346
71 Ac 0.2745 0.4094 0.8346
72 Ac 0.2255 0.5601 0.6349
73 Ac 0.9252 0.0906 0.8651
74 Ac 0.6654 0.2255 0.5906
75 Ac 0.4399 0.7745 0.8651
76 Ac 0.0601 0.4252 0.8346
77 Ac 0.4094 0.2745 0.3346
78 Ac 0.0601 0.6349 0.7255
79 Ac 0.6654 0.4399 0.5748
80 Ac 0.2745 0.8651 0.9399

Output
The value obtained for the spin magnetization is 0.001 Bohr magnetons per cell. The total energy is -2.58 eV per atom. As for the space group: No. 230.


Entry 7:
Below is AcCd4Hg after structural relaxation, with properties calculated at the GGA-PBE level.

a b c (Å): 5.1389 5.2412 6.9136
angles (deg): 97.74 89.79 119.38
Element x y z (fractional)
1 Ac 0.0041 0.4995 0.9982
2 Cd 0.6935 0.8814 0.2700
3 Cd 0.3145 0.1176 0.7263
4 Cd 0.6419 0.7732 0.7270
5 Cd 0.3661 0.2258 0.2691
6 Hg 0.0040 0.4992 0.4983

Output
The value obtained for the spin magnetization is 0.000 Bohr magnetons per cell. The total energy is -1.56 eV per atom. As for the space group: No. 2. The energy relative to the lowest polymorph listed for this composition is 8.8 meV/atom.


Entry 8:
Below is Ac6CdHg after structural relaxation, with properties calculated at the GGA-PBE level.

a b c (Å): 5.6972 5.6972 10.5174
angles (deg): 74.29 74.29 90.00
Element x y z (fractional)
1 Ac 0.7494 0.7494 0.5012
2 Ac 0.6061 0.1061 0.7878
3 Ac 0.1061 0.6061 0.7878
4 Ac 0.3939 0.8939 0.2122
5 Ac 0.2506 0.2506 0.4988
6 Ac 0.8939 0.3939 0.2122
7 Cd 0.5000 0.5000 0.0000
8 Hg 0.0000 0.0000 0.0000

Output
The value obtained for the spin magnetization is 0.000 Bohr magnetons per cell. The total energy is -3.43 eV per atom. As for the space group: No. 139.